Computed, not measured: a relaxed structure of Rb2S2O at the GGA-PBE level of DFT.

E_form (uncorrected) ... -458 meV/atom

a b c (Å): 6.4313 6.4313 5.5867
angles (deg): 54.86 54.86 90.00
Last column: nearest neighbours and their distance in Å.
Sites, in units of the cell vectors:
S1 0.3155 0.3155 0.3689  1 O 2.05
S2 0.6845 0.6845 0.6311  1 O 2.05
O1 0.0000 0.0000 0.0000  2 S 2.05
Rb1 0.7500 0.2500 0.5000  4 S 3.24, 2 Rb 3.25, 4 O 3.60
Rb2 0.2500 0.7500 0.5000  4 S 3.24, 2 Rb 3.25, 4 O 3.60

---

Computed, not measured: a relaxed structure of NbCo2Au at the GGA-PBE level of DFT.

DFT formation energy ... -11 meV/atom

a b c (Å): 4.2888 4.2888 4.2888
angles (deg): 60.00 60.00 60.00
Last column: nearest neighbours and their distance in Å.
Sites, in units of the cell vectors:
Co1 0.2500 0.2500 0.2500  4 Nb 2.63, 4 Au 2.63
Co2 0.7500 0.7500 0.7500  4 Nb 2.63, 4 Au 2.63
Nb1 0.0000 0.0000 0.0000  8 Co 2.63
Au1 0.5000 0.5000 0.5000  8 Co 2.63

---

Computed, not measured: a relaxed structure of Na2ScP2O6 at the GGA-PBE level of DFT.

E_form (uncorrected) ... -2178 meV/atom

a b c (Å): 5.4769 5.4769 5.8415
angles (deg): 90.00 90.00 120.00
Last column: nearest neighbours and their distance in Å.
Sites, in units of the cell vectors:
Na1 0.3333 0.6667 0.3729  9 O 2.73-3.03, 2 P 2.88-2.96
Na2 0.6667 0.3333 0.6271  9 O 2.73-3.03, 2 P 2.88-2.96
Sc1 0.0000 0.0000 0.0000  6 O 2.15
P1 0.3333 0.6667 0.8803  3 O 1.59
P2 0.6667 0.3333 0.1197  3 O 1.59
O1 0.2084 0.3590 0.7766  1 P 1.59
O2 0.1506 0.7916 0.7766  1 P 1.59
O3 0.6410 0.8494 0.7766  1 P 1.59
O4 0.7916 0.6410 0.2234  1 P 1.59
O5 0.8494 0.2084 0.2234  1 P 1.59
O6 0.3590 0.1506 0.2234  1 P 1.59

---

| no. | volume (Å³ per cell) |
| --- | --- |
| 1 | 134.2 |
| 2 | 55.8 |
| 3 | 151.7 |